1.
# CrMoRu2 (GGA-PBE, relaxed)
# Size of the total moment = 0.000 μB per formula unit
# Energy above the most stable polymorph in this dataset = 0.118 eV/atom
# Uncorrected energy = -9.5512 eV per atom
# Calculated formation energy = 19.3 kJ per mole of atoms
data_CrMoRu2
_cell_length_a 2.7070
_cell_length_b 2.7070
_cell_length_c 26.6729
_cell_angle_alpha 90.00
_cell_angle_beta 90.00
_cell_angle_gamma 120.00
_space_group_name_H-M_alt 'R 3 m'
_space_group_IT_number 160
_space_group_name_Hall 'R 3 -2"'
loop_
_atom_site_label
_atom_site_type_symbol
_atom_site_fract_x
_atom_site_fract_y
_atom_site_fract_z
Cr1 Cr 0.0000 0.0000 0.0000
Mo1 Mo 0.0000 0.0000 0.2462
Ru1 Ru 0.0000 0.0000 0.4970
Ru2 Ru 0.0000 0.0000 0.7411

***

2.
# CrMo2Ru (GGA-PBE, relaxed)
# Size of the total moment = 0.681 μB per formula unit
# Energy above the most stable polymorph in this dataset = 0.631 eV/atom
# Uncorrected energy = -9.3908 eV per atom
# Calculated formation energy = 72.3 kJ per mole of atoms
data_CrMo2Ru
_cell_length_a 6.949
_cell_length_b 6.949
_cell_length_c 5.126
_cell_angle_alpha 90.00
_cell_angle_beta 90.00
_cell_angle_gamma 90.00
_space_group_name_H-M_alt 'I -4 2 d'
_space_group_IT_number 122
_space_group_name_Hall 'I -4 2bw'
loop_
_atom_site_label
_atom_site_type_symbol
_atom_site_fract_x
_atom_site_fract_y
_atom_site_fract_z
Cr1 Cr 0.000 0.000 0.000
Mo1 Mo 0.243 0.250 0.125
Ru1 Ru 0.000 0.000 0.500

***

3.
# Cr3MoRu (GGA-PBE, relaxed)
# Size of the total moment = 0.000 μB per formula unit
# Uncorrected energy = -8.1367 eV per atom
# Calculated formation energy = 160.0 kJ per mole of atoms
data_Cr3MoRu
_cell_length_a 4.360
_cell_length_b 4.360
_cell_length_c 4.360
_cell_angle_alpha 90.00
_cell_angle_beta 90.00
_cell_angle_gamma 90.00
_space_group_name_H-M_alt 'P m -3 m'
_space_group_IT_number 221
_space_group_name_Hall '-P 4 2 3'
loop_
_atom_site_label
_atom_site_type_symbol
_atom_site_fract_x
_atom_site_fract_y
_atom_site_fract_z
Cr1 Cr 0.000 0.000 0.500
Mo1 Mo 0.500 0.500 0.500
Ru1 Ru 0.000 0.000 0.000